Here is SnCl after structural relaxation from the Alexandria database. Energies are from PBE.

Unit cell a=7.428 b=6.297 c=9.862 alpha=90.00 beta=90.00 gamma=90.00
Sites, in units of the cell vectors:
Sn (0.126, 0.250, 0.248)
Sn (0.127, 0.750, 0.250)
Sn (0.373, 0.250, 0.750)
Sn (0.374, 0.750, 0.748)
Sn (0.626, 0.250, 0.252)
Sn (0.627, 0.750, 0.250)
Sn (0.873, 0.250, 0.750)
Sn (0.874, 0.750, 0.752)
Cl (0.124, 0.750, 0.535)
Cl (0.125, 0.750, 0.964)
Cl (0.375, 0.250, 0.464)
Cl (0.376, 0.250, 0.035)
Cl (0.624, 0.750, 0.965)
Cl (0.625, 0.750, 0.536)
Cl (0.875, 0.250, 0.036)
Cl (0.876, 0.250, 0.465)

Results
E_form (uncorrected): -0.577 eV/atom
Magnetic moment: 0.0 μB per formula unit

=====

Here is Tl2Cu2Pd5 after structural relaxation from the Alexandria database. Energies are from PBE.

Unit cell a=6.435 b=6.435 c=6.297 alpha=109.29 beta=109.29 gamma=37.55
Sites, in units of the cell vectors:
Tl (0.153, 0.153, 0.497)
Tl (0.847, 0.847, 0.503)
Cu (0.282, 0.282, 0.142)
Cu (0.718, 0.718, 0.858)
Pd (0.066, 0.066, 0.855)
Pd (0.382, 0.382, 0.831)
Pd (0.500, 0.500, 0.500)
Pd (0.618, 0.618, 0.169)
Pd (0.934, 0.934, 0.145)

Results
Magnetic moment: 0.0 μB per formula unit
ΔE_f: -85 meV/atom

=====

Here is ZrNbTc2W after structural relaxation from the Alexandria database. Energies are from PBE.

Unit cell a=4.693 b=4.693 c=4.778 alpha=90.00 beta=90.00 gamma=90.00
Sites, in units of the cell vectors:
Zr (0.000, 0.000, 0.000)
Nb (0.500, 0.500, 0.500)
Tc (0.000, 0.500, 0.500)
Tc (0.500, 0.000, 0.500)
W (0.500, 0.500, 0.000)

Results
Magnetic moment: 0.0 μB per formula unit
ΔE_f: 1421 meV/atom

=====

Copy entry 2 word for word.
Here is Tl2Cu2Pd5 after structural relaxation from the Alexandria database. Energies are from PBE.

Unit cell a=6.435 b=6.435 c=6.297 alpha=109.29 beta=109.29 gamma=37.55
Sites, in units of the cell vectors:
Tl (0.153, 0.153, 0.497)
Tl (0.847, 0.847, 0.503)
Cu (0.282, 0.282, 0.142)
Cu (0.718, 0.718, 0.858)
Pd (0.066, 0.066, 0.855)
Pd (0.382, 0.382, 0.831)
Pd (0.500, 0.500, 0.500)
Pd (0.618, 0.618, 0.169)
Pd (0.934, 0.934, 0.145)

Results
Magnetic moment: 0.0 μB per formula unit
ΔE_f: -85 meV/atom

=====

Number 1 is which compound? SnCl